Entry w
Entry from the Alexandria database: an optimized crystal structure of BaZrCBr2 (PBE).

The value obtained for the total magnetization is 0.21 μB per atom.

The structure belongs to space group P4/mmm (No. 123); the cell edges are 6.108, 6.108 and 4.031 Å and the angles 90.00°, 90.00° and 90.00°. The distinct sites, in fractional coordinates, are Ba at (0.000, 0.000, 0.000), Zr at (0.500, 0.500, 0.000), C at (0.500, 0.500, 0.500) and Br at (0.000, 0.500, 0.500).

Entry x
Entry from the Alexandria database: an optimized crystal structure of BaZrCBr2 (PBE).

The value obtained for the total magnetization is 0.83 μB per atom.

The structure belongs to space group P4/mmm (No. 123); the cell edges are 5.161, 5.161 and 7.505 Å and the angles 90.00°, 90.00° and 90.00°. The distinct sites, in fractional coordinates, are Ba at (0.000, 0.000, 0.000), Zr at (0.000, 0.000, 0.500), C at (0.500, 0.500, 0.000) and Br at (0.000, 0.500, 0.500).

entry w comes first in stability; the runner-up is 0.486 eV/atom higher.